Computed, not measured: a relaxed Co2CuSe crystal at the PBEsol level of DFT.

Results
uncorrected formation energy: 0.9 eV/f.u.
crystal system: tetragonal
symmetry: P4/mmm (123)

Lattice parameters (Å, degrees): 3.851 3.851 3.165 90.00 90.00 90.00
Fractional positions:
Co 0.000 0.500 0.000
Co 0.500 0.000 0.000
Cu 0.000 0.000 0.500
Se 0.500 0.500 0.500

Computed, not measured: a relaxed CoCuSe2 crystal at the PBEsol level of DFT.

Results
uncorrected formation energy: -0.5 eV/f.u.
crystal system: trigonal
symmetry: R-3m (166)

Lattice parameters (Å, degrees): 7.206 7.206 7.206 28.04 28.04 28.04
Fractional positions:
Co 0.000 0.000 0.000
Cu 0.500 0.500 0.500
Se 0.391 0.391 0.391
Se 0.609 0.609 0.609

Computed, not measured: a relaxed CoCu2SnSe4 crystal at the PBEsol level of DFT.

Results
uncorrected formation energy: -1.5 eV/f.u.
crystal system: tetragonal
symmetry: I-42m (121)

Lattice parameters (Å, degrees): 6.786 6.786 6.786 131.04 131.04 71.75
Fractional positions:
Co 0.000 0.000 0.000
Cu 0.250 0.750 0.500
Cu 0.750 0.250 0.500
Sn 0.500 0.500 0.000
Se 0.091 0.091 0.449
Se 0.358 0.909 0.000
Se 0.642 0.642 0.551
Se 0.909 0.358 0.000

Computed, not measured: a relaxed CoCu2SnSe4 crystal at the PBEsol level of DFT.

Results
uncorrected formation energy: -1.5 eV/f.u.
crystal system: tetragonal
symmetry: I-4 (82)

Lattice parameters (Å, degrees): 6.849 6.849 6.849 131.98 131.98 70.27
Fractional positions:
Co 0.000 0.000 0.000
Cu 0.500 0.500 0.000
Cu 0.750 0.250 0.500
Sn 0.250 0.750 0.500
Se 0.112 0.151 0.490
Se 0.378 0.888 0.038
Se 0.660 0.622 0.510
Se 0.849 0.340 0.962

Computed, not measured: a relaxed CoCuSi crystal at the PBEsol level of DFT.

Results
uncorrected formation energy: -0.1 eV/f.u.
crystal system: cubic
symmetry: F-43m (216)

Lattice parameters (Å, degrees): 3.778 3.778 3.778 60.00 60.00 60.00
Fractional positions:
Co 0.000 0.000 0.000
Cu 0.250 0.250 0.250
Si 0.750 0.750 0.750

Computed, not measured: a relaxed Co2CuSi2 crystal at the PBEsol level of DFT.

Results
uncorrected formation energy: -2.5 eV/f.u.
crystal system: tetragonal
symmetry: P4/mbm (127)

Lattice parameters (Å, degrees): 6.538 6.538 2.571 90.00 90.00 90.00
Fractional positions:
Co 0.146 0.354 0.000
Co 0.354 0.854 0.000
Co 0.646 0.146 0.000
Co 0.854 0.646 0.000
Cu 0.000 0.000 0.500
Cu 0.500 0.500 0.500
Si 0.149 0.649 0.500
Si 0.351 0.149 0.500
Si 0.649 0.851 0.500
Si 0.851 0.351 0.500

Computed, not measured: a relaxed CoCuSi3 crystal at the PBEsol level of DFT.

Results
uncorrected formation energy: 5.5 eV/f.u.
crystal system: cubic
symmetry: Pm-3m (221)

Lattice parameters (Å, degrees): 4.356 4.356 4.356 90.00 90.00 90.00
Fractional positions:
Co 0.000 0.000 0.000
Cu 0.500 0.500 0.500
Si 0.000 0.500 0.500
Si 0.500 0.000 0.500
Si 0.500 0.500 0.000

Computed, not measured: a relaxed SmCo4Cu crystal at the PBEsol level of DFT.

Results
crystal system: hexagonal
symmetry: P-6m2 (187)

Lattice parameters (Å, degrees): 4.978 4.978 3.972 90.00 90.00 120.00
Fractional positions:
Sm 0.000 0.000 0.000
Co 0.501 0.002 0.500
Co 0.501 0.499 0.500
Co 0.667 0.333 0.000
Co 0.998 0.499 0.500
Cu 0.333 0.667 0.000

Computed, not measured: a relaxed SrCoCu crystal at the PBEsol level of DFT.

Results
crystal system: cubic
symmetry: F-43m (216)

Lattice parameters (Å, degrees): 4.525 4.525 4.525 60.00 60.00 60.00
Fractional positions:
Sr 0.000 0.000 0.000
Co 0.500 0.500 0.500
Cu 0.250 0.250 0.250

Computed, not measured: a relaxed Sr4CoCu crystal at the PBEsol level of DFT.

Results
crystal system: cubic
symmetry: F-43m (216)

Lattice parameters (Å, degrees): 6.704 6.704 6.704 60.00 60.00 60.00
Fractional positions:
Sr 0.125 0.125 0.125
Sr 0.125 0.125 0.624
Sr 0.125 0.624 0.125
Sr 0.624 0.125 0.125
Co 0.500 0.500 0.500
Cu 0.750 0.750 0.750

Computed, not measured: a relaxed SrTl2CoCu crystal at the PBEsol level of DFT.

Results
crystal system: tetragonal
symmetry: P4/mmm (123)

Lattice parameters (Å, degrees): 5.982 5.982 4.695 90.00 90.00 90.00
Fractional positions:
Sr 0.000 0.000 0.000
Tl 0.000 0.500 0.000
Tl 0.500 0.000 0.000
Co 0.000 0.000 0.500
Cu 0.500 0.500 0.500

Computed, not measured: a relaxed TaCo4Cu crystal at the PBEsol level of DFT.

Results
crystal system: cubic
symmetry: F-43m (216)

Lattice parameters (Å, degrees): 4.596 4.596 4.596 60.00 60.00 60.00
Fractional positions:
Ta 0.000 0.000 0.000
Co 0.376 0.376 0.376
Co 0.376 0.376 0.873
Co 0.376 0.873 0.376
Co 0.873 0.376 0.376
Cu 0.750 0.750 0.750

Computed, not measured: a relaxed TaCo2Cu crystal at the PBEsol level of DFT.

Results
crystal system: tetragonal
symmetry: P4/mmm (123)

Lattice parameters (Å, degrees): 3.024 3.024 5.322 90.00 90.00 90.00
Fractional positions:
Ta 0.000 0.000 0.000
Co 0.500 0.500 0.259
Co 0.500 0.500 0.741
Cu 0.000 0.000 0.500

Computed, not measured: a relaxed CoCu2Tc crystal at the PBEsol level of DFT.

Results
crystal system: orthorhombic
symmetry: Pmmm (47)

Lattice parameters (Å, degrees): 2.443 3.833 5.066 90.00 90.00 90.00
Fractional positions:
Co 0.000 0.000 0.000
Cu 0.500 0.500 0.242
Cu 0.500 0.500 0.758
Tc 0.000 0.000 0.500

Computed, not measured: a relaxed TlCoCuTe2 crystal at the PBEsol level of DFT.

Results
uncorrected formation energy: 2.7 eV/f.u.
crystal system: tetragonal
symmetry: P4/mmm (123)

Lattice parameters (Å, degrees): 4.969 4.969 4.840 90.00 90.00 90.00
Fractional positions:
Tl 0.000 0.000 0.000
Co 0.000 0.000 0.500
Cu 0.500 0.500 0.000
Te 0.000 0.500 0.500
Te 0.500 0.000 0.500

Computed, not measured: a relaxed Ti2Co2Cu crystal at the PBEsol level of DFT.

Results
crystal system: tetragonal
symmetry: P4/mbm (127)

Lattice parameters (Å, degrees): 6.663 6.663 2.865 90.00 90.00 90.00
Fractional positions:
Ti 0.164 0.336 0.000
Ti 0.336 0.836 0.000
Ti 0.664 0.164 0.000
Ti 0.836 0.664 0.000
Co 0.136 0.636 0.500
Co 0.364 0.136 0.500
Co 0.636 0.864 0.500
Co 0.864 0.364 0.500
Cu 0.000 0.000 0.500
Cu 0.500 0.500 0.500

Computed, not measured: a relaxed Co2CuW crystal at the PBEsol level of DFT.

Results
crystal system: tetragonal
symmetry: P4mm (99)

Lattice parameters (Å, degrees): 2.587 2.587 7.143 90.00 90.00 90.00
Fractional positions:
Co 0.000 0.000 0.000
Co 0.500 0.500 0.212
Cu 0.500 0.500 0.759
W 0.000 0.000 0.482

Computed, not measured: a relaxed CoCuW crystal at the PBEsol level of DFT.

Results
crystal system: cubic
symmetry: F-43m (216)

Lattice parameters (Å, degrees): 3.899 3.899 3.899 60.00 60.00 60.00
Fractional positions:
Co 0.000 0.000 0.000
Cu 0.250 0.250 0.250
W 0.750 0.750 0.750

Computed, not measured: a relaxed Co2CuW crystal at the PBEsol level of DFT.

Results
crystal system: cubic
symmetry: F-43m (216)

Lattice parameters (Å, degrees): 4.066 4.066 4.066 60.00 60.00 60.00
Fractional positions:
Co 0.000 0.000 0.000
Co 0.250 0.250 0.250
Cu 0.500 0.500 0.500
W 0.750 0.750 0.750

Computed, not measured: a relaxed Co2CuW2 crystal at the PBEsol level of DFT.

Results
crystal system: tetragonal
symmetry: I4/mmm (139)

Lattice parameters (Å, degrees): 5.505 5.505 5.505 138.49 138.49 60.15
Fractional positions:
Co 0.108 0.108 0.000
Co 0.892 0.892 0.000
Cu 0.500 0.500 0.000
W 0.250 0.750 0.500
W 0.750 0.250 0.500

no.,ρ (g/cm3),magnetization (μB per cell),uncorrected energy (eV/atom)
1,9.2,2.491,-5.693
2,6.4,0.000,-5.071
3,5.9,2.337,-4.699
4,5.9,2.475,-4.698
5,6.6,0.000,-5.983
6,7.2,0.000,-6.751
7,4.2,1.362,-4.772
8,8.8,4.990,-6.787
9,5.3,1.451,-3.845
10,3.7,0.059,-2.006
11,6.1,0.789,-2.264
12,11.6,2.274,-8.069
13,12.4,0.001,-8.195
14,9.9,1.872,-6.637
15,8.1,0.000,-3.812
16,7.2,0.000,-7.543
17,12.7,2.651,-8.210
18,12.1,0.916,-7.997
19,12.8,2.225,-8.075
20,12.6,0.402,-8.871